# 1
# MnFeRe2

Crystalline MnFeRe2 at its relaxed geometry (PBE, the Alexandria database).

Lattice parameters (Å, degrees): 6.0176 6.0176 6.0176 90.00 90.00 90.00
Space group F-43m (No. 216)
Inequivalent atoms, fractional coordinates:
Mn 0.0000 0.0000 0.0000 (multiplicity 4)
Fe 0.2500 0.2500 0.7500 (multiplicity 4)
Re 0.0000 0.0000 0.5000 (multiplicity 4)
Re 0.2500 0.2500 0.2500 (multiplicity 4)

Computed properties:
Its energy of formation from the pure elements is 0.0795 eV/atom. Its total magnetization is 1.172 μB/atom. As for the density of states at the Fermi level: 0.714 states/eV per atom. The total energy is -168.84 eV for the cell shown. The calculation puts the mass density at 14.7 g/cm3. For the excess energy over the best structure of this formula in the dataset, the calculation gives 0.038 eV per atom.



# 2
# MnFeRe2

Crystalline MnFeRe2 at its relaxed geometry (PBE, the Alexandria database).

Lattice parameters (Å, degrees): 2.6123 4.1676 5.1075 90.00 102.26 90.00
Space group P2/m (No. 10)
Inequivalent atoms, fractional coordinates:
Mn 0.0000 0.0000 0.0000 (multiplicity 1)
Fe 0.5000 0.0000 0.5000 (multiplicity 1)
Re 0.2559 0.5000 0.7494 (multiplicity 2)

Computed properties:
Its energy of formation from the pure elements is 0.1273 eV/atom. Its total magnetization is 1.115 μB/atom. As for the density of states at the Fermi level: 0.904 states/eV per atom. The total energy is -42.02 eV for the cell shown. The calculation puts the mass density at 14.8 g/cm3. For the excess energy over the best structure of this formula in the dataset, the calculation gives 0.085 eV per atom.



# 3
# MnFe2Re

Crystalline MnFe2Re at its relaxed geometry (PBE, the Alexandria database).

Lattice parameters (Å, degrees): 2.9730 4.1500 8.1799 90.00 90.00 90.00
Space group Cmmm (No. 65)
Inequivalent atoms, fractional coordinates:
Mn 0.0000 0.0000 0.0000 (multiplicity 2)
Fe 0.0000 0.5000 0.2400 (multiplicity 4)
Re 0.0000 0.0000 0.5000 (multiplicity 2)

Computed properties:
Its energy of formation from the pure elements is 0.1726 eV/atom. Its total magnetization is 1.540 μB/atom. As for the density of states at the Fermi level: 1.263 states/eV per atom. The total energy is -75.70 eV for the cell shown. The calculation puts the mass density at 11.6 g/cm3. For the excess energy over the best structure of this formula in the dataset, the calculation gives 0.140 eV per atom.



# 4
# MnFe2Re

Crystalline MnFe2Re at its relaxed geometry (PBE, the Alexandria database).

Lattice parameters (Å, degrees): 5.8252 5.8252 5.8252 90.00 90.00 90.00
Space group F-43m (No. 216)
Inequivalent atoms, fractional coordinates:
Mn 0.0000 0.0000 0.0000 (multiplicity 4)
Fe 0.0000 0.0000 0.5000 (multiplicity 4)
Fe 0.2500 0.2500 0.7500 (multiplicity 4)
Re 0.2500 0.2500 0.2500 (multiplicity 4)

Computed properties:
Its energy of formation from the pure elements is 0.0626 eV/atom. Its total magnetization is 1.463 μB/atom. As for the density of states at the Fermi level: 0.918 states/eV per atom. The total energy is -153.17 eV for the cell shown. The calculation puts the mass density at 11.9 g/cm3. For the excess energy over the best structure of this formula in the dataset, the calculation gives 0.030 eV per atom.



# 5
# MnFe2Re

Crystalline MnFe2Re at its relaxed geometry (PBE, the Alexandria database).

Lattice parameters (Å, degrees): 2.5911 3.5818 5.2026 90.00 90.00 90.00
Space group Pmm2 (No. 25)
Inequivalent atoms, fractional coordinates:
Mn 0.0000 0.0000 0.0000 (multiplicity 1)
Fe 0.0000 0.0000 0.5302 (multiplicity 1)
Fe 0.5000 0.5000 0.7696 (multiplicity 1)
Re 0.5000 0.5000 0.2810 (multiplicity 1)

Computed properties:
Its energy of formation from the pure elements is 0.0973 eV/atom. Its total magnetization is 0.232 μB/atom. As for the density of states at the Fermi level: 1.193 states/eV per atom. The total energy is -38.15 eV for the cell shown. The calculation puts the mass density at 12.1 g/cm3. For the excess energy over the best structure of this formula in the dataset, the calculation gives 0.065 eV per atom.



# 6
# MnFe2Re

Crystalline MnFe2Re at its relaxed geometry (PBE, the Alexandria database).

Lattice parameters (Å, degrees): 2.5993 2.5993 24.7488 90.00 90.00 120.00
Space group R-3m (No. 166, hexagonal axes)
Inequivalent atoms, fractional coordinates:
Mn 0.0000 0.0000 0.0000 (multiplicity 3)
Fe 0.0000 0.0000 0.2541 (multiplicity 6)
Re 0.0000 0.0000 0.5000 (multiplicity 3)

Computed properties:
Its energy of formation from the pure elements is 0.2125 eV/atom. Its total magnetization is 0.481 μB/atom. As for the density of states at the Fermi level: 1.274 states/eV per atom. The total energy is -113.08 eV for the cell shown. The calculation puts the mass density at 12.1 g/cm3. For the excess energy over the best structure of this formula in the dataset, the calculation gives 0.180 eV per atom.



# 7
# MnFe5Re2

Crystalline MnFe5Re2 at its relaxed geometry (PBE, the Alexandria database).

Lattice parameters (Å, degrees): 3.6793 3.6793 14.4119 90.00 90.00 90.00
Space group I4/mmm (No. 139)
Inequivalent atoms, fractional coordinates:
Mn 0.0000 0.0000 0.0000 (multiplicity 2)
Fe 0.0000 0.0000 0.5000 (multiplicity 2)
Fe 0.0000 0.5000 0.1191 (multiplicity 8)
Re 0.0000 0.0000 0.2530 (multiplicity 4)

Computed properties:
Its energy of formation from the pure elements is 0.0851 eV/atom. Its total magnetization is 0.623 μB/atom. As for the density of states at the Fermi level: 1.017 states/eV per atom. The total energy is -151.40 eV for the cell shown. The calculation puts the mass density at 12.0 g/cm3.



# 8
# MnFeRe2

Crystalline MnFeRe2 at its relaxed geometry (PBE, the Alexandria database).

Lattice parameters (Å, degrees): 8.6748 2.6834 4.6792 90.00 100.18 90.00
Space group C2/m (No. 12)
Inequivalent atoms, fractional coordinates:
Mn 0.0000 0.0000 0.0000 (multiplicity 2)
Fe 0.0000 0.5000 0.5000 (multiplicity 2)
Re 0.2489 0.0000 0.7490 (multiplicity 4)

Computed properties:
Its energy of formation from the pure elements is 0.1269 eV/atom. Its total magnetization is 0.013 μB/atom. As for the density of states at the Fermi level: 0.994 states/eV per atom. The total energy is -84.04 eV for the cell shown. The calculation puts the mass density at 15.0 g/cm3. For the excess energy over the best structure of this formula in the dataset, the calculation gives 0.085 eV per atom.



# 9
# MnFeRe2

Crystalline MnFeRe2 at its relaxed geometry (PBE, the Alexandria database).

Lattice parameters (Å, degrees): 8.7351 2.6713 4.5648 90.00 100.28 90.00
Space group Cm (No. 8)
Inequivalent atoms, fractional coordinates:
Mn 0.0000 0.0000 0.0000 (multiplicity 2)
Fe 0.2435 0.5000 0.2464 (multiplicity 2)
Re 0.2502 0.0000 0.7613 (multiplicity 2)
Re 0.4906 0.0000 0.4771 (multiplicity 2)

Computed properties:
Its energy of formation from the pure elements is 0.0923 eV/atom. Its total magnetization is 0.080 μB/atom. As for the density of states at the Fermi level: 1.077 states/eV per atom. The total energy is -84.32 eV for the cell shown. The calculation puts the mass density at 15.3 g/cm3. For the excess energy over the best structure of this formula in the dataset, the calculation gives 0.050 eV per atom.



# 10
# MnFe2Re

Crystalline MnFe2Re at its relaxed geometry (PBE, the Alexandria database).

Lattice parameters (Å, degrees): 4.1096 4.1096 2.9252 90.00 90.00 90.00
Space group P4/mmm (No. 123)
Inequivalent atoms, fractional coordinates:
Mn 0.0000 0.0000 0.0000 (multiplicity 1)
Fe 0.0000 0.5000 0.5000 (multiplicity 2)
Re 0.5000 0.5000 0.0000 (multiplicity 1)

Computed properties:
Its energy of formation from the pure elements is 0.1113 eV/atom. Its total magnetization is 1.427 μB/atom. As for the density of states at the Fermi level: 0.959 states/eV per atom. The total energy is -38.10 eV for the cell shown. The calculation puts the mass density at 11.9 g/cm3. For the excess energy over the best structure of this formula in the dataset, the calculation gives 0.079 eV per atom.



# 11
# MnFe2Re2

Crystalline MnFe2Re2 at its relaxed geometry (PBE, the Alexandria database).

Lattice parameters (Å, degrees): 6.9126 6.9126 2.6868 90.00 90.00 90.00
Space group P4/mbm (No. 127)
Inequivalent atoms, fractional coordinates:
Mn 0.0000 0.0000 0.0000 (multiplicity 2)
Fe 0.1231 0.3769 0.0000 (multiplicity 4)
Re 0.1744 0.6744 0.5000 (multiplicity 4)

Computed properties:
Its energy of formation from the pure elements is 0.2953 eV/atom. Its total magnetization is 0.000 μB/atom. As for the density of states at the Fermi level: 1.628 states/eV per atom. The total energy is -99.03 eV for the cell shown. The calculation puts the mass density at 13.9 g/cm3.



# 12
# MnFe2Re

Crystalline MnFe2Re at its relaxed geometry (PBE, the Alexandria database).

Lattice parameters (Å, degrees): 8.4517 2.5748 4.5200 90.00 99.52 90.00
Space group Cm (No. 8)
Inequivalent atoms, fractional coordinates:
Mn 0.0000 0.0000 0.0000 (multiplicity 2)
Fe 0.2416 0.5000 0.2199 (multiplicity 2)
Fe 0.4924 0.0000 0.4672 (multiplicity 2)
Re 0.2468 0.0000 0.7201 (multiplicity 2)

Computed properties:
Its energy of formation from the pure elements is 0.0956 eV/atom. Its total magnetization is 0.324 μB/atom. As for the density of states at the Fermi level: 1.094 states/eV per atom. The total energy is -76.32 eV for the cell shown. The calculation puts the mass density at 12.1 g/cm3. For the excess energy over the best structure of this formula in the dataset, the calculation gives 0.063 eV per atom.